1.
Density functional theory data (PBE) for a geometry-optimized Mg8Bi2Au3 structure.

Lattice parameters (Å, degrees): 4.572 9.169 8.685 121.85 90.00 90.00
Sites, in units of the cell vectors:
Au1 0.500 0.000 0.000
Au2 0.000 0.754 0.001
Au3 0.000 0.246 0.999
Mg1 0.000 0.118 0.235
Mg2 0.500 0.362 0.224
Mg3 0.000 0.605 0.211
Mg4 0.500 0.863 0.226
Mg5 0.000 0.882 0.765
Mg6 0.000 0.395 0.789
Mg7 0.500 0.137 0.774
Mg8 0.500 0.638 0.776
Bi1 0.500 0.741 0.484
Bi2 0.500 0.259 0.516

Calculated values
DFT formation energy = -0.37 eV per atom
SG = P2/m (10)

2.
Density functional theory data (PBE) for a geometry-optimized Mg3BiAu structure.

Lattice parameters (Å, degrees): 5.487 5.487 5.487 90.00 90.00 90.00
Sites, in units of the cell vectors:
Mg1 0.000 0.000 0.500
Mg2 0.500 0.000 0.000
Mg3 0.000 0.500 0.000
Au1 0.500 0.500 0.500
Bi1 0.000 0.000 0.000

Calculated values
DFT formation energy = 0.44 eV per atom
SG = Pm-3m (221)

3.
Density functional theory data (PBE) for a geometry-optimized MgBi2Au structure.

Lattice parameters (Å, degrees): 4.620 4.620 10.975 77.85 77.85 90.00
Sites, in units of the cell vectors:
Mg1 0.500 0.500 0.000
Mg2 0.250 0.750 0.500
Au1 0.000 0.000 0.000
Au2 0.750 0.250 0.500
Bi1 0.875 0.894 0.750
Bi2 0.644 0.125 0.250
Bi3 0.106 0.625 0.250
Bi4 0.375 0.356 0.750

Calculated values
DFT formation energy = -0.02 eV per atom
SG = I-42d (122)

4.
Density functional theory data (PBE) for a geometry-optimized MgBi2Au2 structure.

Lattice parameters (Å, degrees): 3.854 3.854 9.109 77.79 77.79 90.00
Sites, in units of the cell vectors:
Au1 0.250 0.750 0.500
Au2 0.750 0.250 0.500
Bi1 0.607 0.607 0.785
Bi2 0.393 0.393 0.215
Mg1 0.000 0.000 0.000

Calculated values
DFT formation energy = 0.01 eV per atom
SG = I4/mmm (139)

5.
Density functional theory data (PBE) for a geometry-optimized Mg6BiAu12 structure.

Lattice parameters (Å, degrees): 7.722 7.722 7.722 106.68 106.68 106.68
Sites, in units of the cell vectors:
Au1 0.116 0.884 0.500
Au2 0.638 0.638 0.882
Au3 0.882 0.638 0.638
Au4 0.884 0.116 0.500
Au5 0.116 0.500 0.884
Au6 0.500 0.884 0.116
Au7 0.884 0.500 0.116
Au8 0.500 0.116 0.884
Au9 0.362 0.362 0.118
Au10 0.638 0.882 0.638
Au11 0.362 0.118 0.362
Au12 0.118 0.362 0.362
Mg1 0.296 0.707 0.707
Mg2 0.707 0.707 0.296
Mg3 0.293 0.704 0.293
Mg4 0.707 0.296 0.707
Mg5 0.704 0.293 0.293
Mg6 0.293 0.293 0.704
Bi1 0.000 0.000 0.000

Calculated values
DFT formation energy = -0.29 eV per atom
SG = R-3m (166)

6.
Density functional theory data (PBE) for a geometry-optimized NaMgBiAu structure.

Lattice parameters (Å, degrees): 5.074 5.074 5.074 60.00 60.00 60.00
Sites, in units of the cell vectors:
Bi1 0.500 0.500 0.500
Au1 0.000 0.000 0.000
Mg1 0.750 0.750 0.750
Na1 0.250 0.250 0.250

Calculated values
DFT formation energy = -0.25 eV per atom
SG = F-43m (216)

7.
Density functional theory data (PBE) for a geometry-optimized NdMgBiAu structure.

Lattice parameters (Å, degrees): 5.275 5.275 5.275 60.00 60.00 60.00
Sites, in units of the cell vectors:
Au1 0.000 0.000 0.000
Bi1 0.500 0.500 0.500
Mg1 0.250 0.250 0.250
Nd1 0.750 0.750 0.750

Calculated values
DFT formation energy = -0.50 eV per atom
SG = F-43m (216)

8.
Density functional theory data (PBE) for a geometry-optimized MgBiAu2O structure.

Lattice parameters (Å, degrees): 5.318 3.653 5.318 90.00 90.00 90.00
Sites, in units of the cell vectors:
O1 0.000 0.500 0.000
Au1 0.000 0.000 0.500
Au2 0.500 0.000 0.000
Bi1 0.500 0.500 0.500
Mg1 0.000 0.000 0.000

Calculated values
SG = P4/mmm (123)
formation energy from raw total energies = -299 meV/atom

9.
Density functional theory data (PBE) for a geometry-optimized MgBiPdAu structure.

Lattice parameters (Å, degrees): 4.855 4.855 4.855 60.00 60.00 60.00
Sites, in units of the cell vectors:
Bi1 0.750 0.750 0.750
Au1 0.000 0.000 0.000
Mg1 0.250 0.250 0.250
Pd1 0.500 0.500 0.500

Calculated values
DFT formation energy = -0.28 eV per atom
SG = F-43m (216)

10.
Density functional theory data (PBE) for a geometry-optimized Mg2BiPd4Au structure.

Lattice parameters (Å, degrees): 4.616 4.616 8.052 73.34 73.34 60.00
Sites, in units of the cell vectors:
Pd1 0.376 0.376 0.871
Pd2 0.125 0.125 0.626
Pd3 0.875 0.875 0.374
Pd4 0.624 0.624 0.129
Bi1 0.000 0.000 0.000
Mg1 0.243 0.243 0.272
Mg2 0.757 0.757 0.728
Au1 0.500 0.500 0.500

Calculated values
DFT formation energy = -0.48 eV per atom
SG = R-3m (166)

11.
Density functional theory data (PBE) for a geometry-optimized PmMgBiAu structure.

Lattice parameters (Å, degrees): 5.253 5.253 5.253 60.00 60.00 60.00
Sites, in units of the cell vectors:
Bi1 0.000 0.000 0.000
Au1 0.500 0.500 0.500
Mg1 0.750 0.750 0.750
Pm1 0.250 0.250 0.250

Calculated values
DFT formation energy = -0.50 eV per atom
SG = F-43m (216)

12.
Density functional theory data (PBE) for a geometry-optimized MgBiPtAu structure.

Lattice parameters (Å, degrees): 4.858 4.858 4.858 60.00 60.00 60.00
Sites, in units of the cell vectors:
Au1 0.250 0.250 0.250
Mg1 0.500 0.500 0.500
Pt1 0.750 0.750 0.750
Bi1 0.000 0.000 0.000

Calculated values
DFT formation energy = -0.25 eV per atom
SG = F-43m (216)

Question: Which formula does entry 7 have?
Answer: NdMgBiAu

Copy entry 8 word for word.
Density functional theory data (PBE) for a geometry-optimized MgBiAu2O structure.

Lattice parameters (Å, degrees): 5.318 3.653 5.318 90.00 90.00 90.00
Sites, in units of the cell vectors:
O1 0.000 0.500 0.000
Au1 0.000 0.000 0.500
Au2 0.500 0.000 0.000
Bi1 0.500 0.500 0.500
Mg1 0.000 0.000 0.000

Calculated values
SG = P4/mmm (123)
formation energy from raw total energies = -299 meV/atom